This record from Alexandria via LeMat-Bulk describes P2Pb3O8 after structural relaxation. The functional is PBE-GGA.

a = 7.528 Å, b = 7.528 Å, c = 9.958 Å
α = 87.23°, β = 87.23°, γ = 46.90°
Atoms (fractional coordinates):
P1 0.665 0.145 0.920
O1 0.896 0.857 0.346
Pb1 0.324 0.030 0.366
O2 0.694 0.275 0.597
O3 0.089 0.662 0.572
O4 0.911 0.338 0.428
Pb2 0.676 0.970 0.634
O5 0.275 0.694 0.097
O6 0.725 0.306 0.903
P2 0.855 0.335 0.580
O7 0.413 0.290 0.854
O8 0.104 0.143 0.654
O9 0.662 0.089 0.072
Pb3 0.344 0.656 0.750
Pb4 0.970 0.676 0.134
O10 0.290 0.413 0.354
P3 0.335 0.855 0.080
O11 0.338 0.911 0.928
O12 0.710 0.587 0.646
O13 0.143 0.104 0.154
O14 0.857 0.896 0.846
Pb5 0.030 0.324 0.866
P4 0.145 0.665 0.420
O15 0.306 0.725 0.403
Pb6 0.656 0.344 0.250
O16 0.587 0.710 0.146

For the total energy, the calculation gives -6.632 eV per atom. The uncorrected formation energy comes out at -24.607 eV/f.u.